No. 1
Sr2Br3 | PBE-GGA | relaxed

abc: 4.665 4.665 31.090
angles: 90.00 90.00 120.00
Atoms (fractional coordinates):
Sr 0.000 0.000 0.108
Sr 0.000 0.000 0.892
Sr 0.333 0.667 0.559
Sr 0.333 0.667 0.775
Sr 0.667 0.333 0.225
Sr 0.667 0.333 0.441
Br 0.000 0.000 0.274
Br 0.000 0.000 0.500
Br 0.000 0.000 0.726
Br 0.333 0.667 0.167
Br 0.333 0.667 0.393
Br 0.333 0.667 0.941
Br 0.667 0.333 0.059
Br 0.667 0.333 0.607
Br 0.667 0.333 0.833

Calculated values
**Mass density**: 3.528 g cm⁻³
**Density of states at the Fermi level**: 4.7 states/eV per cell
**Formation energy from raw total energies**: -1755.9 meV per atom



No. 2
Sm6TaSn10 | PBE-GGA | relaxed

abc: 9.291 9.291 6.222
angles: 90.00 90.00 120.00
Atoms (fractional coordinates):
Sm 0.000 0.388 0.258
Sm 0.000 0.612 0.742
Sm 0.388 0.000 0.258
Sm 0.388 0.388 0.742
Sm 0.612 0.000 0.742
Sm 0.612 0.612 0.258
Ta 0.000 0.000 0.500
Sn 0.000 0.234 0.791
Sn 0.000 0.766 0.209
Sn 0.234 0.000 0.791
Sn 0.234 0.234 0.209
Sn 0.333 0.667 0.000
Sn 0.333 0.667 0.500
Sn 0.667 0.333 0.000
Sn 0.667 0.333 0.500
Sn 0.766 0.000 0.209
Sn 0.766 0.766 0.791

Calculated values
**Formation enthalpy at 0 K**: -0.49 eV/atom
**Mass density**: 8.104 g cm⁻³
**Density of states at the Fermi level**: 9.5 states/eV per cell



no.,calculated volume (Å³/cell)
1,585.9
2,465.2